Compound: SrMg2Ni
Source: Alexandria via LeMat-Bulk
Functional: GGA-PBE
Structure: optimized geometry

The structure belongs to space group Cm (No. 8); the cell edges are 8.034, 4.649 and 6.174 Å and the angles 90.00°, 115.80° and 90.00°. The inequivalent atoms are Sr at (0.000, 0.000, 0.000), Mg at (0.026, 0.500, 0.579), Mg at (0.301, 0.500, 0.405) and Ni at (0.186, 0.000, 0.558).

Its total energy is -10.723 eV/f.u. For the calculated formation energy, the calculation gives -0.018 eV per atom.

---

Compound: RbNa3Pt
Source: Alexandria via LeMat-Bulk
Functional: GGA-PBE
Structure: optimized geometry

The structure belongs to space group Pm-3m (No. 221); the cell edges are 5.748, 5.748 and 5.748 Å and the angles 90.00°, 90.00° and 90.00°. The inequivalent atoms are Rb at (0.000, 0.000, 0.000), Na at (0.000, 0.000, 0.500) and Pt at (0.500, 0.500, 0.500).

Its total energy is -6.010 eV/f.u. The calculation puts the energy relative to the lowest polymorph listed for this composition at 999 meV per atom. For the calculated formation energy, the calculation gives 0.991 eV per atom.

---

Compound: LiMgTl2Hg
Source: Alexandria via LeMat-Bulk
Functional: GGA-PBE
Structure: optimized geometry

The structure belongs to space group Cmcm (No. 63); the cell edges are 6.057, 14.675 and 6.056 Å and the angles 90.00°, 90.00° and 90.00°. The inequivalent atoms are Li at (0.000, 0.148, 0.250), Mg at (0.000, 0.338, 0.250), Tl at (0.249, 0.000, 0.000) and Hg at (0.000, 0.257, 0.750).

Its total energy is -8.298 eV/f.u. The calculation puts the energy relative to the lowest polymorph listed for this composition at 0 meV per atom. For the calculated formation energy, the calculation gives 0.049 eV per atom.

---

Compound: MgInCu2Se
Source: Alexandria via LeMat-Bulk
Functional: GGA-PBE
Structure: optimized geometry

The structure belongs to space group P4/mmm (No. 123); the cell edges are 4.511, 4.511 and 6.368 Å and the angles 90.00°, 90.00° and 90.00°. The inequivalent atoms are Mg at (0.000, 0.000, 0.000), In at (0.500, 0.500, 0.000), Cu at (0.000, 0.500, 0.500) and Se at (0.500, 0.500, 0.500).

Its total energy is -14.515 eV/f.u. As for the raw formation energy: 299 meV/atom.

---

Compound: Mg2InSb
Source: Alexandria via LeMat-Bulk
Functional: GGA-PBE
Structure: optimized geometry

The structure belongs to space group C2/m (No. 12); the cell edges are 9.520, 3.339 and 6.353 Å and the angles 90.00°, 101.71° and 90.00°. The inequivalent atoms are Mg at (0.249, 0.000, 0.233), In at (0.000, 0.500, 0.000) and Sb at (0.000, 0.000, 0.500).

Its total energy is -10.527 eV/f.u. The calculation puts the energy relative to the lowest polymorph listed for this composition at 32 meV per atom. As for the raw formation energy: -119 meV/atom.

---

Compound: Ce2PaN
Source: Alexandria via LeMat-Bulk
Functional: GGA-PBE
Structure: optimized geometry

The structure belongs to space group P4/mmm (No. 123); the cell edges are 3.080, 3.080 and 8.359 Å and the angles 90.00°, 90.00° and 90.00°. The inequivalent atoms are Ce at (0.000, 0.000, 0.175), Pa at (0.500, 0.500, 0.500) and N at (0.500, 0.500, 0.000).

Its total energy is -30.878 eV/f.u. The calculation puts the energy relative to the lowest polymorph listed for this composition at 326 meV per atom. As for the raw formation energy: -297 meV/atom.

---

Compound: Al3CoSb
Source: Alexandria via LeMat-Bulk
Functional: GGA-PBE
Structure: optimized geometry

The structure belongs to space group Pm-3m (No. 221); the cell edges are 4.570, 4.570 and 4.570 Å and the angles 90.00°, 90.00° and 90.00°. The inequivalent atoms are Al at (0.000, 0.000, 0.500), Co at (0.000, 0.000, 0.000) and Sb at (0.500, 0.500, 0.500).

Its total energy is -22.129 eV/f.u. The calculation puts the energy relative to the lowest polymorph listed for this composition at 0 meV per atom. As for the raw formation energy: 65 meV/atom.

---

Compound: AlNi2Au
Source: Alexandria via LeMat-Bulk
Functional: GGA-PBE
Structure: optimized geometry

The structure belongs to space group F-43m (No. 216); the cell edges are 5.984, 5.984 and 5.984 Å and the angles 90.00°, 90.00° and 90.00°. The inequivalent atoms are Al at (0.000, 0.000, 0.000), Ni at (0.000, 0.000, 0.500), Ni at (0.250, 0.250, 0.250) and Au at (0.250, 0.250, 0.750).

Its total energy is -19.582 eV/f.u. For the calculated formation energy, the calculation gives -0.250 eV per atom.